Below is LiBi12O20 after structural relaxation, with properties calculated at the PBEsol level.

Summary:
The value obtained for the raw formation energy is -1.154 eV/atom. The theoretical density comes out at 9.6 g cm⁻³. The symmetry is No. 197. As for the total energy: -5.95 eV per atom.

Cell lengths 8.6136, 8.6136, 8.6136 Å; angles 109.47, 109.47, 109.47 degrees
Sites, in units of the cell vectors:
Li 0.0000 0.0000 0.0000
Bi 0.1448 0.8310 0.3159
Bi 0.1690 0.3138 0.4849
Bi 0.1712 0.6862 0.8552
Bi 0.3138 0.4849 0.1690
Bi 0.3159 0.1448 0.8310
Bi 0.4849 0.1690 0.3138
Bi 0.5151 0.8288 0.6841
Bi 0.6841 0.5151 0.8288
Bi 0.6862 0.8552 0.1712
Bi 0.8288 0.6841 0.5151
Bi 0.8310 0.3159 0.1448
Bi 0.8552 0.1712 0.6862
O 0.0000 0.0000 0.3706
O 0.0000 0.0000 0.7608
O 0.0000 0.3706 0.0000
O 0.0000 0.7608 0.0000
O 0.1247 0.3575 0.7440
O 0.2328 0.8753 0.6193
O 0.2392 0.2392 0.2392
O 0.2560 0.6135 0.3807
O 0.3575 0.7440 0.1247
O 0.3706 0.0000 0.0000
O 0.3807 0.2560 0.6135
O 0.3865 0.6425 0.7672
O 0.6135 0.3807 0.2560
O 0.6193 0.2328 0.8753
O 0.6294 0.6294 0.6294
O 0.6425 0.7672 0.3865
O 0.7440 0.1247 0.3575
O 0.7608 0.0000 0.0000
O 0.7672 0.3865 0.6425
O 0.8753 0.6193 0.2328